# TiBeP2O

A relaxed structure of TiBeP2O (PBE, Alexandria).

Computed properties:
* size of the total moment: 0.000 μB per cell
* space group: No. 123
* raw formation energy: -217 kJ/mol of formula units
* E: -5.93 eV/atom
* calculated density: 3.34 g/cm³

a b c (Å): 4.868 4.868 2.829
angles (deg): 90.00 90.00 90.00
Fractional positions:
P 0.000 0.500 0.000
P 0.500 0.000 0.000
Be 0.000 0.000 0.000
Ti 0.500 0.500 0.500
O 0.000 0.000 0.500

---

# LaPrCdAu

A relaxed structure of LaPrCdAu (PBE, Alexandria).

Computed properties:
* size of the total moment: 0.000 μB per cell
* space group: No. 99
* E: -4.02 eV/atom
* DFT formation energy: -541 meV per atom
* calculated density: 8.68 g/cm³

a b c (Å): 3.839 3.839 7.650
angles (deg): 90.00 90.00 90.00
Fractional positions:
La 0.000 0.000 0.842
Cd 0.500 0.500 0.112
Au 0.500 0.500 0.603
Pr 0.000 0.000 0.372

---

# BH3W

A relaxed structure of BH3W (PBE, Alexandria).

Computed properties:
* size of the total moment: 0.000 μB per cell
* space group: No. 221
* E: -4.76 eV/atom
* calculated density: 8.39 g/cm³

a b c (Å): 3.395 3.395 3.395
angles (deg): 90.00 90.00 90.00
Fractional positions:
H 0.000 0.500 0.000
H 0.000 0.000 0.500
H 0.500 0.000 0.000
W 0.000 0.000 0.000
B 0.500 0.500 0.500

---

# Nd2Al2ZnNi5

A relaxed structure of Nd2Al2ZnNi5 (PBE, Alexandria).

Computed properties:
* size of the total moment: 0.000 μB per cell
* space group: No. 127
* E: -4.96 eV/atom
* DFT formation energy: -241 meV per atom
* calculated density: 7.31 g/cm³

a b c (Å): 3.053 10.214 10.214
angles (deg): 90.00 90.00 90.00
Fractional positions:
Ni 0.500 0.000 0.500
Ni 0.500 0.806 0.945
Ni 0.500 0.055 0.806
Ni 0.500 0.555 0.694
Ni 0.500 0.445 0.306
Ni 0.500 0.694 0.445
Ni 0.500 0.500 0.000
Ni 0.500 0.945 0.194
Ni 0.500 0.194 0.055
Ni 0.500 0.306 0.555
Nd 0.000 0.674 0.174
Nd 0.000 0.826 0.674
Nd 0.000 0.174 0.326
Nd 0.000 0.326 0.826
Zn 0.000 0.500 0.500
Zn 0.000 0.000 0.000
Al 0.000 0.373 0.127
Al 0.000 0.127 0.627
Al 0.000 0.627 0.873
Al 0.000 0.873 0.373

---

# TiCdInPb2

A relaxed structure of TiCdInPb2 (PBE, Alexandria).

Computed properties:
* size of the total moment: 0.000 μB per cell
* space group: No. 123
* E: -2.98 eV/atom
* DFT formation energy: 812 meV per atom
* calculated density: 7.00 g/cm³

a b c (Å): 5.534 5.339 5.534
angles (deg): 90.00 90.00 90.00
Fractional positions:
Ti 0.000 0.500 0.000
Cd 0.000 0.000 0.000
Pb 0.000 0.000 0.500
Pb 0.500 0.000 0.000
In 0.500 0.500 0.500

---

# Cs3BeGa

A relaxed structure of Cs3BeGa (PBE, Alexandria).

Computed properties:
* size of the total moment: 0.335 μB per cell
* space group: No. 221
* E: -1.11 eV/atom
* DFT formation energy: 753 meV per atom
* calculated density: 2.39 g/cm³

a b c (Å): 6.926 6.926 6.926
angles (deg): 90.00 90.00 90.00
Last column: magnetic moment on the atom in μB.
Fractional positions:
Be 0.000 0.000 0.000  -0.11
Cs 0.000 0.000 0.500  0.00
Cs 0.000 0.500 0.000  -0.01
Cs 0.500 0.000 0.000  -0.01
Ga 0.500 0.500 0.500  0.19

---

# LiPrAl4

A relaxed structure of LiPrAl4 (PBE, Alexandria).

Computed properties:
* size of the total moment: 0.000 μB per cell
* space group: No. 127
* E: -3.30 eV/atom
* DFT formation energy: 307 meV per atom
* calculated density: 3.18 g/cm³

a b c (Å): 6.247 6.247 6.852
angles (deg): 90.00 90.00 90.00
Fractional positions:
Al 0.000 0.000 0.322
Al 0.500 0.500 0.678
Al 0.000 0.000 0.678
Al 0.500 0.500 0.322
Al 0.156 0.344 0.000
Al 0.344 0.844 0.000
Al 0.844 0.656 0.000
Al 0.656 0.156 0.000
Pr 0.500 0.000 0.500
Pr 0.000 0.500 0.500
Li 0.000 0.000 0.000
Li 0.500 0.500 0.000

---

# ZrSeSN2

A relaxed structure of ZrSeSN2 (PBE, Alexandria).

Computed properties:
* size of the total moment: 0.000 μB per cell
* space group: No. 123
* raw formation energy: 402 kJ/mol of formula units
* E: -5.73 eV/atom
* calculated density: 5.52 g/cm³

a b c (Å): 3.879 3.879 4.607
angles (deg): 90.00 90.00 90.00
Fractional positions:
Zr 0.500 0.500 0.500
N 0.500 0.000 0.000
N 0.000 0.500 0.000
Se 0.000 0.000 0.000
S 0.000 0.000 0.500

---

# Er4SiTc

A relaxed structure of Er4SiTc (PBE, Alexandria).

Computed properties:
* size of the total moment: 0.000 μB per cell
* space group: No. 62
* raw formation energy: -208 kJ/mol of formula units
* E: -6.03 eV/atom
* calculated density: 9.10 g/cm³

a b c (Å): 4.323 7.662 17.526
angles (deg): 90.00 90.00 90.00
Fractional positions:
Er 0.250 0.611 0.148
Er 0.250 0.055 0.781
Er 0.250 0.155 0.554
Er 0.750 0.996 0.931
Er 0.250 0.004 0.069
Er 0.250 0.655 0.946
Er 0.750 0.945 0.219
Er 0.750 0.496 0.569
Er 0.750 0.389 0.852
Er 0.750 0.845 0.446
Er 0.250 0.111 0.352
Er 0.750 0.445 0.281
Er 0.250 0.555 0.719
Er 0.750 0.345 0.054
Er 0.750 0.889 0.648
Er 0.250 0.504 0.431
Tc 0.250 0.749 0.565
Tc 0.750 0.251 0.435
Tc 0.250 0.249 0.935
Tc 0.750 0.751 0.065
Si 0.750 0.753 0.805
Si 0.250 0.247 0.195
Si 0.750 0.253 0.695
Si 0.250 0.747 0.305

---

# Y2Cu2Pt

A relaxed structure of Y2Cu2Pt (PBE, Alexandria).

Computed properties:
* size of the total moment: 0.000 μB per cell
* space group: No. 139
* E: -5.79 eV/atom
* DFT formation energy: -355 meV per atom
* calculated density: 7.95 g/cm³

a b c (Å): 5.334 5.334 5.264
angles (deg): 59.56 59.56 90.00
Fractional positions:
Y 0.250 0.750 0.500
Y 0.750 0.250 0.500
Cu 0.651 0.651 0.698
Cu 0.349 0.349 0.302
Pt 0.000 0.000 0.000

---

# Li2CoSe

A relaxed structure of Li2CoSe (PBE, Alexandria).

Computed properties:
* size of the total moment: 1.614 μB per cell
* space group: No. 99
* raw formation energy: -68 kJ/mol of formula units
* E: -3.78 eV/atom
* calculated density: 4.27 g/cm³

a b c (Å): 3.254 3.254 5.572
angles (deg): 90.00 90.00 90.00
Last column: magnetic moment on the atom in μB.
Fractional positions:
Co 0.500 0.500 0.725  1.51
Se 0.000 0.000 0.530  0.09
Li 0.000 0.000 0.981  -0.01
Li 0.500 0.500 0.264  0.00

---

# NdGe4Ir2

A relaxed structure of NdGe4Ir2 (PBE, Alexandria).

Computed properties:
* size of the total moment: 0.000 μB per cell
* space group: No. 62
* E: -6.45 eV/atom
* DFT formation energy: -594 meV per atom
* calculated density: 10.74 g/cm³

a b c (Å): 4.284 6.749 17.516
angles (deg): 90.00 90.00 90.00
Fractional positions:
Ge 0.750 0.717 0.306
Ge 0.750 0.968 0.066
Ge 0.250 0.698 0.682
Ge 0.750 0.532 0.566
Ge 0.750 0.783 0.806
Ge 0.250 0.364 0.033
Ge 0.250 0.468 0.434
Ge 0.750 0.636 0.967
Ge 0.250 0.136 0.533
Ge 0.750 0.198 0.818
Ge 0.250 0.802 0.182
Ge 0.750 0.864 0.467
Ge 0.750 0.302 0.318
Ge 0.250 0.032 0.934
Ge 0.250 0.217 0.194
Ge 0.250 0.283 0.694
Ir 0.250 0.988 0.790
Ir 0.250 0.512 0.290
Ir 0.250 0.747 0.532
Ir 0.250 0.753 0.032
Ir 0.750 0.012 0.210
Ir 0.750 0.247 0.968
Ir 0.750 0.488 0.710
Ir 0.750 0.253 0.468
Nd 0.250 0.504 0.858
Nd 0.750 0.496 0.142
Nd 0.750 0.004 0.642
Nd 0.250 0.996 0.358

---

# InCSCl2

A relaxed structure of InCSCl2 (PBE, Alexandria).

Computed properties:
* size of the total moment: 4.197 μB per cell
* space group: No. 123
* raw formation energy: 558 kJ/mol of formula units
* E: -2.80 eV/atom
* calculated density: 2.89 g/cm³

a b c (Å): 5.582 4.234 5.582
angles (deg): 90.00 90.00 90.00
Last column: magnetic moment on the atom in μB.
Fractional positions:
C 0.000 0.500 0.000  0.73
In 0.000 0.000 0.000  0.01
S 0.500 0.500 0.500  1.35
Cl 0.500 0.000 0.000  0.17
Cl 0.000 0.000 0.500  0.23

---

# CoCl

A relaxed structure of CoCl (PBE, Alexandria).

Computed properties:
* size of the total moment: 16.580 μB per cell
* space group: No. 87
* raw formation energy: -7 kJ/mol of formula units
* E: -4.51 eV/atom
* calculated density: 3.88 g/cm³

a b c (Å): 9.855 9.855 3.331
angles (deg): 90.00 90.00 90.00
Last column: magnetic moment on the atom in μB.
Fractional positions:
Co 0.817 0.294 0.000  1.95
Co 0.183 0.706 0.000  1.95
Co 0.794 0.683 0.500  1.95
Co 0.206 0.317 0.500  1.95
Co 0.317 0.794 0.500  1.95
Co 0.683 0.206 0.500  1.95
Co 0.706 0.817 0.000  1.95
Co 0.294 0.183 0.000  1.95
Cl 0.517 0.249 0.000  0.09
Cl 0.749 0.983 0.500  0.09
Cl 0.249 0.483 0.000  0.09
Cl 0.483 0.751 0.000  0.09
Cl 0.017 0.749 0.500  0.09
Cl 0.751 0.517 0.000  0.09
Cl 0.251 0.017 0.500  0.09
Cl 0.983 0.251 0.500  0.09

---

# Ca3TiCr

A relaxed structure of Ca3TiCr (PBE, Alexandria).

Computed properties:
* size of the total moment: 9.375 μB per cell
* space group: No. 221
* E: -3.53 eV/atom
* DFT formation energy: 1176 meV per atom
* calculated density: 1.86 g/cm³

a b c (Å): 5.811 5.811 5.811
angles (deg): 90.00 90.00 90.00
Last column: magnetic moment on the atom in μB.
Fractional positions:
Ca 0.000 0.500 0.000  0.18
Ca 0.000 0.000 0.500  0.22
Ca 0.500 0.000 0.000  0.12
Ti 0.000 0.000 0.000  2.23
Cr 0.500 0.500 0.500  4.19

---

# Zn3TeAs2Pb3O14

A relaxed structure of Zn3TeAs2Pb3O14 (PBE, Alexandria).

Computed properties:
* size of the total moment: 0.000 μB per cell
* space group: No. 150
* raw formation energy: -2947 kJ/mol of formula units
* E: -5.54 eV/atom
* calculated density: 6.30 g/cm³

a b c (Å): 8.691 8.691 5.318
angles (deg): 90.00 90.00 120.00
Fractional positions:
O 0.274 0.812 0.676
O 0.188 0.462 0.676
O 0.788 0.911 0.212
O 0.089 0.877 0.212
O 0.462 0.188 0.324
O 0.911 0.788 0.788
O 0.726 0.538 0.324
O 0.123 0.212 0.212
O 0.333 0.667 0.224
O 0.812 0.274 0.324
O 0.538 0.726 0.676
O 0.877 0.089 0.788
O 0.667 0.333 0.776
O 0.212 0.123 0.788
Zn 0.758 0.758 0.500
Zn 0.000 0.242 0.500
Zn 0.242 0.000 0.500
Pb 0.603 0.000 0.000
Pb 0.000 0.603 0.000
Pb 0.397 0.397 0.000
Te 0.000 0.000 0.000
As 0.333 0.667 0.545
As 0.667 0.333 0.455

---

# Mg12InPb2

A relaxed structure of Mg12InPb2 (PBE, Alexandria).

Computed properties:
* size of the total moment: 0.000 μB per cell
* space group: No. 125
* E: -1.83 eV/atom
* DFT formation energy: 120 meV per atom
* calculated density: 3.49 g/cm³

a b c (Å): 6.006 6.006 21.658
angles (deg): 90.00 90.00 90.00
Fractional positions:
Mg 0.750 0.250 0.097
Mg 0.250 0.750 0.903
Mg 0.827 0.673 0.436
Mg 0.500 0.500 0.200
Mg 0.750 0.750 0.097
Mg 0.250 0.750 0.097
Mg 0.173 0.673 0.564
Mg 0.500 0.500 0.666
Mg 0.827 0.327 0.564
Mg 0.750 0.250 0.903
Mg 0.000 0.000 0.800
Mg 0.500 0.500 0.334
Mg 0.500 0.500 0.800
Mg 0.250 0.250 0.097
Mg 0.327 0.173 0.564
Mg 0.000 0.000 0.334
Mg 0.750 0.750 0.903
Mg 0.000 0.000 0.200
Mg 0.673 0.827 0.564
Mg 0.173 0.327 0.436
Mg 0.327 0.827 0.436
Mg 0.000 0.000 0.666
Mg 0.673 0.173 0.436
Mg 0.250 0.250 0.903
Pb 0.500 0.000 0.261
Pb 0.000 0.500 0.261
Pb 0.500 0.000 0.739
Pb 0.000 0.500 0.739
In 0.000 0.500 0.000
In 0.500 0.000 0.000

---

# Dy6Bi2Te3Se

A relaxed structure of Dy6Bi2Te3Se (PBE, Alexandria).

Computed properties:
* size of the total moment: 0.000 μB per cell
* space group: No. 12
* raw formation energy: -1421 kJ/mol of formula units
* E: -5.25 eV/atom
* calculated density: 8.77 g/cm³

a b c (Å): 4.344 8.709 9.782
angles (deg): 102.99 102.83 90.00
Fractional positions:
Te 0.500 0.500 0.000
Te 0.171 0.837 0.343
Te 0.829 0.163 0.657
Dy 0.652 0.075 0.304
Dy 0.665 0.583 0.329
Dy 0.348 0.925 0.696
Dy 0.998 0.220 0.996
Dy 0.002 0.780 0.004
Dy 0.335 0.417 0.671
Se 0.500 0.000 0.000
Bi 0.833 0.667 0.667
Bi 0.167 0.333 0.333

---

# Te2POs

A relaxed structure of Te2POs (PBE, Alexandria).

Computed properties:
* size of the total moment: 0.000 μB per cell
* space group: No. 119
* raw formation energy: 391 kJ/mol of formula units
* E: -4.72 eV/atom
* calculated density: 10.07 g/cm³

a b c (Å): 4.925 4.925 4.925
angles (deg): 124.12 124.12 82.99
Fractional positions:
Os 0.500 0.500 0.000
Te 0.250 0.750 0.500
Te 0.000 0.000 0.000
P 0.750 0.250 0.500

---

# Nb3InGe

A relaxed structure of Nb3InGe (PBE, Alexandria).

Computed properties:
* size of the total moment: 0.000 μB per cell
* space group: No. 1
* E: -7.56 eV/atom
* DFT formation energy: -45 meV per atom
* calculated density: 8.39 g/cm³

a b c (Å): 5.580 5.359 7.633
angles (deg): 69.58 71.60 61.34
Fractional positions:
Ge 0.088 0.393 0.626
Ge 0.590 0.088 0.126
Nb 0.042 0.235 0.029
Nb 0.129 0.978 0.435
Nb 0.628 0.932 0.498
Nb 0.548 0.344 0.754
Nb 0.135 0.589 0.222
Nb 0.047 0.830 0.816
In 0.633 0.502 0.337
In 0.543 0.758 0.916